## KSbN (PBE)

Data for a relaxed KSbN crystal.

Formation energy without anion corrections, eV/f.u.: 0.17
E_tot, Ry/atom: -0.3278
N(E_F), states/eV/f.u.: 0.4

Geometry as CIF:
```
data_KSbN
_chemical_formula_sum 'K4 Sb4 N4'
_cell_length_a 3.209
_cell_length_b 7.855
_cell_length_c 11.504
_cell_angle_alpha 90.00
_cell_angle_beta 90.00
_cell_angle_gamma 90.00
_symmetry_space_group_name_H-M 'I m m 2'
_symmetry_Int_Tables_number 44
loop_
_symmetry_equiv_pos_as_xyz
'x,y,z'
'-x,-y,z'
'-x,y,z'
'x,-y,z'
'x+1/2,y+1/2,z+1/2'
'-x+1/2,-y+1/2,z+1/2'
'-x+1/2,y+1/2,z+1/2'
'x+1/2,-y+1/2,z+1/2'
loop_
_atom_site_label
_atom_site_type_symbol
_atom_site_fract_x
_atom_site_fract_y
_atom_site_fract_z
K1 K 0.000 0.000 0.000
K2 K 0.000 0.500 0.050
Sb1 Sb 0.000 0.199 0.266
N1 N 0.000 0.273 0.650
```



## KSbN2 (PBE)

Data for a relaxed KSbN2 crystal.

Formation energy without anion corrections, eV/f.u.: 1.92
E_tot, Ry/atom: -0.3666
N(E_F), states/eV/f.u.: 0.3

Geometry as CIF:
```
data_KSbN2
_chemical_formula_sum 'K3 Sb3 N6'
_cell_length_a 3.2815
_cell_length_b 3.2815
_cell_length_c 21.8838
_cell_angle_alpha 90.00
_cell_angle_beta 90.00
_cell_angle_gamma 120.00
_symmetry_space_group_name_H-M 'R -3 m'
_symmetry_Int_Tables_number 166
_symmetry_space_group_name_Hall '-R 3 2"'
loop_
_atom_site_label
_atom_site_type_symbol
_atom_site_fract_x
_atom_site_fract_y
_atom_site_fract_z
K1 K 0.0000 0.0000 0.0000
Sb1 Sb 0.0000 0.0000 0.5000
N1 N 0.0000 0.0000 0.1166
```



## KSbN (PBE)

Data for a relaxed KSbN crystal.

Formation energy without anion corrections, eV/f.u.: 2.95
E_tot, Ry/atom: -0.2596
N(E_F), states/eV/f.u.: 1.0

Geometry as CIF:
```
data_KSbN
_chemical_formula_sum 'K2 Sb2 N2'
_cell_length_a 3.431
_cell_length_b 4.250
_cell_length_c 11.958
_cell_angle_alpha 91.49
_cell_angle_beta 90.39
_cell_angle_gamma 90.06
_symmetry_space_group_name_H-M 'P -1'
_symmetry_Int_Tables_number 2
loop_
_symmetry_equiv_pos_as_xyz
'x,y,z'
'-x,-y,-z'
loop_
_atom_site_label
_atom_site_type_symbol
_atom_site_fract_x
_atom_site_fract_y
_atom_site_fract_z
K1 K 0.005 0.218 0.372
Sb1 Sb 0.497 0.743 0.919
N1 N 0.495 0.287 0.575
```



## KSbN2 (PBE)

Data for a relaxed KSbN2 crystal.

Formation energy without anion corrections, eV/f.u.: 3.81
E_tot, Ry/atom: -0.3319
N(E_F), states/eV/f.u.: 0.0

Geometry as CIF:
```
data_KSbN2
_chemical_formula_sum 'K3 Sb3 N6'
_cell_length_a 4.3463
_cell_length_b 4.3463
_cell_length_c 20.2246
_cell_angle_alpha 90.00
_cell_angle_beta 90.00
_cell_angle_gamma 120.00
_symmetry_space_group_name_H-M 'R -3 m'
_symmetry_Int_Tables_number 166
_symmetry_space_group_name_Hall '-R 3 2"'
loop_
_atom_site_label
_atom_site_type_symbol
_atom_site_fract_x
_atom_site_fract_y
_atom_site_fract_z
K1 K 0.0000 0.0000 0.0000
Sb1 Sb 0.0000 0.0000 0.5000
N1 N 0.0000 0.0000 0.4073
```



## KSbSe2N (PBE)

Data for a relaxed KSbSe2N crystal.

Formation energy without anion corrections, eV/f.u.: 7.23
E_tot, Ry/atom: -0.1952
N(E_F), states/eV/f.u.: 4.5

Geometry as CIF:
```
data_KSbSe2N
_chemical_formula_sum 'K1 Sb1 Se2 N1'
_cell_length_a 5.733
_cell_length_b 5.733
_cell_length_c 4.662
_cell_angle_alpha 90.00
_cell_angle_beta 90.00
_cell_angle_gamma 90.00
_symmetry_space_group_name_H-M 'P 4/m m m'
_symmetry_Int_Tables_number 123
_symmetry_space_group_name_Hall '-P 4 2'
loop_
_atom_site_label
_atom_site_type_symbol
_atom_site_fract_x
_atom_site_fract_y
_atom_site_fract_z
K1 K 0.000 0.000 0.000
Sb1 Sb 0.500 0.500 0.500
Se1 Se 0.000 0.500 0.000
N1 N 0.000 0.000 0.500
```



## KSbSe2N (PBE)

Data for a relaxed KSbSe2N crystal.

Formation energy without anion corrections, eV/f.u.: 1.27
E_tot, Ry/atom: -0.2829
N(E_F), states/eV/f.u.: 3.4

Geometry as CIF:
```
data_KSbSe2N
_chemical_formula_sum 'K1 Sb1 Se2 N1'
_cell_length_a 5.485
_cell_length_b 5.485
_cell_length_c 4.221
_cell_angle_alpha 90.00
_cell_angle_beta 90.00
_cell_angle_gamma 90.00
_symmetry_space_group_name_H-M 'P 4/m m m'
_symmetry_Int_Tables_number 123
_symmetry_space_group_name_Hall '-P 4 2'
loop_
_atom_site_label
_atom_site_type_symbol
_atom_site_fract_x
_atom_site_fract_y
_atom_site_fract_z
K1 K 0.000 0.000 0.000
Sb1 Sb 0.500 0.500 0.500
Se1 Se 0.000 0.500 0.500
N1 N 0.500 0.500 0.000
```



## KSbTe2N (PBE)

Data for a relaxed KSbTe2N crystal.

Formation energy without anion corrections, eV/f.u.: 9.41
E_tot, Ry/atom: -0.1531
N(E_F), states/eV/f.u.: 7.3

Geometry as CIF:
```
data_KSbTe2N
_chemical_formula_sum 'K1 Sb1 Te2 N1'
_cell_length_a 6.151
_cell_length_b 6.151
_cell_length_c 6.122
_cell_angle_alpha 90.00
_cell_angle_beta 90.00
_cell_angle_gamma 90.00
_symmetry_space_group_name_H-M 'P 4/m m m'
_symmetry_Int_Tables_number 123
_symmetry_space_group_name_Hall '-P 4 2'
loop_
_atom_site_label
_atom_site_type_symbol
_atom_site_fract_x
_atom_site_fract_y
_atom_site_fract_z
K1 K 0.000 0.000 0.000
Sb1 Sb 0.000 0.000 0.500
Te1 Te 0.000 0.500 0.000
N1 N 0.500 0.500 0.500
```



## KSbTeN2 (PBE)

Data for a relaxed KSbTeN2 crystal.

Formation energy without anion corrections, eV/f.u.: 9.86
E_tot, Ry/atom: -0.2228
N(E_F), states/eV/f.u.: 3.3

Geometry as CIF:
```
data_KSbTeN2
_chemical_formula_sum 'K1 Sb1 Te1 N2'
_cell_length_a 4.850
_cell_length_b 4.850
_cell_length_c 6.900
_cell_angle_alpha 90.00
_cell_angle_beta 90.00
_cell_angle_gamma 90.00
_symmetry_space_group_name_H-M 'P 4/m m m'
_symmetry_Int_Tables_number 123
_symmetry_space_group_name_Hall '-P 4 2'
loop_
_atom_site_label
_atom_site_type_symbol
_atom_site_fract_x
_atom_site_fract_y
_atom_site_fract_z
K1 K 0.000 0.000 0.000
Sb1 Sb 0.500 0.500 0.500
Te1 Te 0.000 0.000 0.500
N1 N 0.000 0.500 0.000
```